Entry 1:
DFT (PBE) results for a relaxed Cd3OsO crystal.

```
data_Cd3OsO
_chemical_formula_sum 'Cd3 Os1 O1'
_cell_length_a 5.2581
_cell_length_b 5.2581
_cell_length_c 5.2581
_cell_angle_alpha 90.00
_cell_angle_beta 90.00
_cell_angle_gamma 90.00
_symmetry_space_group_name_H-M 'P 1'
_symmetry_Int_Tables_number 1
loop_
_symmetry_equiv_pos_as_xyz
'x,y,z'
loop_
_atom_site_label
_atom_site_type_symbol
_atom_site_fract_x
_atom_site_fract_y
_atom_site_fract_z
Cd1 Cd 0.0000 0.0000 0.5000
Cd2 Cd 0.0000 0.5000 0.0000
Cd3 Cd 0.5000 0.0000 0.0000
Os1 Os 0.0000 0.0000 0.0000
O1 O 0.5000 0.5000 0.5000
```

The calculation puts the volume at 145 Å³/f.u. The calculation puts the relative energy among the computed polymorphs at 0.706 eV/atom. Its total energy is -2.5960 eV per atom.

=====

Entry 2:
DFT (PBE) results for a relaxed BaNbGa2Re crystal.

```
data_BaNbGa2Re
_chemical_formula_sum 'Ba1 Nb1 Ga2 Re1'
_cell_length_a 5.2087
_cell_length_b 5.2087
_cell_length_c 4.8880
_cell_angle_alpha 90.00
_cell_angle_beta 90.00
_cell_angle_gamma 90.00
_symmetry_space_group_name_H-M 'P 1'
_symmetry_Int_Tables_number 1
loop_
_symmetry_equiv_pos_as_xyz
'x,y,z'
loop_
_atom_site_label
_atom_site_type_symbol
_atom_site_fract_x
_atom_site_fract_y
_atom_site_fract_z
Ba1 Ba 0.0000 0.0000 0.0000
Nb1 Nb 0.5000 0.5000 0.5000
Ga1 Ga 0.0000 0.5000 0.5000
Ga2 Ga 0.5000 0.0000 0.5000
Re1 Re 0.5000 0.5000 0.0000
```

The calculation puts the volume at 133 Å³/f.u. The energy of formation from the pure elements comes out at 2.5 eV per formula unit. Its total energy is -5.5969 eV per atom.

=====

Entry 3:
DFT (PBE) results for a relaxed CaRuRh3 crystal.

```
data_CaRuRh3
_chemical_formula_sum 'Ca1 Ru1 Rh3'
_cell_length_a 4.6058
_cell_length_b 4.6058
_cell_length_c 4.6058
_cell_angle_alpha 90.00
_cell_angle_beta 90.00
_cell_angle_gamma 90.00
_symmetry_space_group_name_H-M 'P 1'
_symmetry_Int_Tables_number 1
loop_
_symmetry_equiv_pos_as_xyz
'x,y,z'
loop_
_atom_site_label
_atom_site_type_symbol
_atom_site_fract_x
_atom_site_fract_y
_atom_site_fract_z
Ca1 Ca 0.0000 0.0000 0.0000
Ru1 Ru 0.5000 0.5000 0.5000
Rh1 Rh 0.0000 0.0000 0.5000
Rh2 Rh 0.0000 0.5000 0.0000
Rh3 Rh 0.5000 0.0000 0.0000
```

The calculation puts the volume at 98 Å³/f.u. The calculation puts the relative energy among the computed polymorphs at 1.386 eV/atom. The energy of formation from the pure elements comes out at 9.9 eV per formula unit. Its total energy is -4.6862 eV per atom.

=====

Entry 4:
DFT (PBE) results for a relaxed YSc4Al crystal.

```
data_YSc4Al
_chemical_formula_sum 'Y1 Sc4 Al1'
_cell_length_a 5.9639
_cell_length_b 5.9639
_cell_length_c 5.9639
_cell_angle_alpha 60.00
_cell_angle_beta 60.00
_cell_angle_gamma 60.00
_symmetry_space_group_name_H-M 'P 1'
_symmetry_Int_Tables_number 1
loop_
_symmetry_equiv_pos_as_xyz
'x,y,z'
loop_
_atom_site_label
_atom_site_type_symbol
_atom_site_fract_x
_atom_site_fract_y
_atom_site_fract_z
Y1 Y 0.0000 0.0000 0.0000
Sc1 Sc 0.3745 0.3745 0.3745
Sc2 Sc 0.3745 0.3745 0.8765
Sc3 Sc 0.3745 0.8765 0.3745
Sc4 Sc 0.8765 0.3745 0.3745
Al1 Al 0.7500 0.7500 0.7500
```

The calculation puts the volume at 150 Å³/f.u. The calculation puts the relative energy among the computed polymorphs at 0.220 eV/atom. The energy of formation from the pure elements comes out at 1.0 eV per formula unit. Its total energy is -5.7512 eV per atom.